Material: Mg3Mn
Method: DFT, GGA-PBE
State: relaxed

For the formation energy, the calculation gives 0.328 eV/atom. As for the density of states at the Fermi level: 3.25 states/eV per cell. For the total energy, the calculation gives -3.16 eV/atom.

It has space group Pmm2 (No. 25), with a = 2.9638 Å, b = 2.9815 Å, c = 9.5927 Å, α = 90.00°, β = 90.00° and γ = 90.00°. Symmetry generates all atoms from Mg at (0.0000, 0.0000, 0.0000), Mg at (0.0000, 0.5000, 0.2897), Mg at (0.5000, 0.5000, 0.7457) and Mn at (0.5000, 0.0000, 0.4940).